# YSnP2O

A geometry-optimized YSnP2O structure (PBE-GGA, Alexandria via LeMat-Bulk).

a = 5.074 Å, b = 5.074 Å, c = 4.008 Å
α = 90.00°, β = 90.00°, γ = 90.00°
Space group P4/mmm (No. 123)
Unique sites:
Y 0.000 0.000 0.000 x1
Sn 0.500 0.500 0.500 x1
P 0.000 0.500 0.500 x2
O 0.500 0.500 0.000 x1

## Properties
Distance to the lowest polymorph of the same formula   0 meV/atom
Uncorrected energy   -5.620 eV per atom

---

# CaIrBr

A geometry-optimized CaIrBr structure (PBE-GGA, Alexandria via LeMat-Bulk).

a = 3.647 Å, b = 4.061 Å, c = 9.863 Å
α = 90.00°, β = 90.00°, γ = 90.00°
Space group Imm2 (No. 44)
Unique sites:
Ca 0.000 0.000 0.000 x2
Ir 0.000 0.000 0.403 x2
Br 0.000 0.000 0.654 x2

## Properties
Distance to the lowest polymorph of the same formula   1090 meV/atom
Uncorrected energy   -4.160 eV per atom

---

# SmHoTm14

A geometry-optimized SmHoTm14 structure (PBE-GGA, Alexandria via LeMat-Bulk).

a = 10.965 Å, b = 8.003 Å, c = 11.119 Å
α = 90.00°, β = 90.00°, γ = 90.00°
Space group Amm2 (No. 38)
Unique sites:
Sm 0.000 0.000 0.000 x2
Ho 0.000 0.000 0.447 x2
Tm 0.000 0.205 0.721 x4
Tm 0.235 0.000 0.204 x4
Tm 0.252 0.211 0.926 x8
Tm 0.268 0.000 0.649 x4
Tm 0.500 0.000 0.405 x2
Tm 0.500 0.000 0.856 x2
Tm 0.500 0.206 0.134 x4

## Properties
Uncorrected energy   -4.433 eV per atom
Energy relative to the elements   1.41 kcal/mol of atoms

---

# Ba2CuTe2

A geometry-optimized Ba2CuTe2 structure (PBE-GGA, Alexandria via LeMat-Bulk).

a = 4.768 Å, b = 4.768 Å, c = 17.907 Å
α = 90.00°, β = 90.00°, γ = 90.00°
Space group I4/mmm (No. 139)
Unique sites:
Ba 0.000 0.000 0.110 x4
Cu 0.000 0.000 0.500 x2
Te 0.000 0.500 0.250 x4

## Properties
Distance to the lowest polymorph of the same formula   454 meV/atom
Uncorrected energy   -3.288 eV per atom

---

Question: Look up the uncorrected energy of the third one.
Answer: -4.433 eV per atom